Entry 1:
This record from Alexandria via LeMat-Bulk describes an optimized crystal structure of NiAs2Br. The functional is GGA-PBE.

Results
Calculated total energy in eV/atom: -4.15
Energy relative to the elements, uncorrected in eV per atom: 0.040
Total moment in μB per atom: 0.0000
Space group: R3m (160)
Polymorph energy (0 for the lowest one) in eV per formula unit: 0.870

Unit cell a=8.9563 b=8.9563 c=8.9563 alpha=21.95 beta=21.95 gamma=21.95
Element x y z (fractional)
Br 0.4623 0.4623 0.4623
As 0.0189 0.0189 0.0189
As 0.2800 0.2800 0.2800
Ni 0.7389 0.7389 0.7389

---

Entry 2:
This record from Alexandria via LeMat-Bulk describes an optimized crystal structure of CaRuW2. The functional is GGA-PBE.

Results
Calculated total energy in eV/atom: -8.84
Total moment in μB per atom: 0.0000
Space group: Immm (71)
Polymorph energy (0 for the lowest one) in eV per formula unit: 0.028
ΔH_f (0 K) in eV/atom: 0.4592

Unit cell a=5.6369 b=5.6369 c=4.5947 alpha=65.97 beta=65.97 gamma=31.76
Element x y z (fractional)
W 0.5188 0.5188 0.4812
W 0.9812 0.9812 0.0188
Ca 0.7500 0.7500 0.7500
Ru 0.2500 0.2500 0.2500

---

Entry 3:
This record from Alexandria via LeMat-Bulk describes an optimized crystal structure of Ho5Mg24. The functional is GGA-PBE.

Results
Calculated total energy in eV/atom: -2.15
Total moment in μB per atom: 0.0000
Space group: I-43m (217)
ΔH_f (0 K) in eV/atom: -0.0434

Unit cell a=9.7414 b=9.7414 c=9.7414 alpha=109.47 beta=109.47 gamma=109.47
Element x y z (fractional)
Mg 0.6115 0.0000 0.3236
Mg 0.6295 0.0000 0.8091
Mg 0.1909 0.8204 0.1909
Mg 0.0000 0.6115 0.3236
Mg 0.6764 0.6764 0.2879
Mg 0.3236 0.0000 0.6115
Mg 0.6764 0.2879 0.6764
Mg 0.8091 0.0000 0.6295
Mg 0.1796 0.3705 0.3705
Mg 0.2879 0.6764 0.6764
Mg 0.3705 0.3705 0.1796
Mg 0.7121 0.3885 0.3885
Mg 0.0000 0.3236 0.6115
Mg 0.0000 0.6295 0.8091
Mg 0.6115 0.3236 0.0000
Mg 0.3885 0.3885 0.7121
Mg 0.6295 0.8091 0.0000
Mg 0.3885 0.7121 0.3885
Mg 0.0000 0.8091 0.6295
Mg 0.1909 0.1909 0.8204
Mg 0.8204 0.1909 0.1909
Mg 0.3236 0.6115 0.0000
Mg 0.8091 0.6295 0.0000
Mg 0.3705 0.1796 0.3705
Ho 0.6241 0.6241 0.6241
Ho 0.0000 0.3759 0.0000
Ho 0.0000 0.0000 0.0000
Ho 0.0000 0.0000 0.3759
Ho 0.3759 0.0000 0.0000

---

Entry 4:
This record from Alexandria via LeMat-Bulk describes an optimized crystal structure of FeMo2Rh2. The functional is GGA-PBE.

Results
Calculated total energy in eV/atom: -8.62
Total moment in μB per atom: 0.0000
Space group: P4/mbm (127)
Polymorph energy (0 for the lowest one) in eV per formula unit: 1.266
ΔH_f (0 K) in eV/atom: 0.3416

Unit cell a=7.3787 b=7.3787 c=2.7857 alpha=90.00 beta=90.00 gamma=90.00
Element x y z (fractional)
Mo 0.8277 0.3277 0.5000
Mo 0.1723 0.6723 0.5000
Mo 0.6723 0.8277 0.5000
Mo 0.3277 0.1723 0.5000
Rh 0.1268 0.3732 0.0000
Rh 0.8732 0.6268 0.0000
Rh 0.6268 0.1268 0.0000
Rh 0.3732 0.8732 0.0000
Fe 0.0000 0.0000 0.0000
Fe 0.5000 0.5000 0.0000

---

Entry 5:
This record from Alexandria via LeMat-Bulk describes an optimized crystal structure of LuThMgNb. The functional is GGA-PBE.

Results
Calculated total energy in eV/atom: -5.76
Total moment in μB per atom: 0.0014
Space group: F-43m (216)
ΔH_f (0 K) in eV/atom: 0.1440

Unit cell a=5.1765 b=5.1765 c=5.1765 alpha=60.00 beta=60.00 gamma=60.00
Element x y z (fractional)
Mg 0.5000 0.5000 0.5000
Th 0.2500 0.2500 0.2500
Lu 0.7500 0.7500 0.7500
Nb 0.0000 0.0000 0.0000

---

Entry 6:
This record from Alexandria via LeMat-Bulk describes an optimized crystal structure of Ac8Ga2Ag. The functional is GGA-PBE.

Results
Calculated total energy in eV/atom: -3.97
Total moment in μB per atom: 0.0000
Space group: C2/m (12)
ΔH_f (0 K) in eV/atom: -0.1724

Unit cell a=5.4944 b=7.5243 c=10.4431 alpha=101.00 beta=105.25 gamma=90.00
Element x y z (fractional)
Ac 0.0284 0.7667 0.0567
Ac 0.7942 0.6781 0.5885
Ac 0.2058 0.3219 0.4115
Ac 0.3386 0.0300 0.6772
Ac 0.6614 0.9700 0.3228
Ac 0.9716 0.2333 0.9433
Ac 0.5916 0.4563 0.1832
Ac 0.4084 0.5437 0.8168
Ga 0.1916 0.7476 0.3832
Ga 0.8084 0.2524 0.6168
Ag 0.5000 0.0000 0.0000

---

Entry 7:
This record from Alexandria via LeMat-Bulk describes an optimized crystal structure of BeVTe. The functional is GGA-PBE.

Results
Calculated total energy in eV/atom: -5.19
Energy relative to the elements, uncorrected in eV per atom: 0.142
Total moment in μB per atom: 0.0001
Space group: I4mm (107)
Polymorph energy (0 for the lowest one) in eV per formula unit: 0.924

Unit cell a=3.2933 b=3.2933 c=8.2091 alpha=90.00 beta=90.00 gamma=90.00
Element x y z (fractional)
Te 0.0000 0.0000 0.2132
Te 0.5000 0.5000 0.7132
Be 0.0000 0.0000 0.5350
Be 0.5000 0.5000 0.0350
V 0.0000 0.0000 0.8845
V 0.5000 0.5000 0.3845

---

Entry 8:
This record from Alexandria via LeMat-Bulk describes an optimized crystal structure of Pa2GaPt. The functional is GGA-PBE.

Results
Calculated total energy in eV/atom: -7.57
Total moment in μB per atom: 0.0001
Space group: Imma (74)
Polymorph energy (0 for the lowest one) in eV per formula unit: 0.025
ΔH_f (0 K) in eV/atom: -0.5541

Unit cell a=6.1853 b=6.1625 c=6.1625 alpha=60.87 beta=59.88 gamma=59.88
Element x y z (fractional)
Pa 0.7663 0.7337 0.2337
Pa 0.2663 0.7337 0.2337
Pa 0.2337 0.2663 0.7663
Pa 0.7337 0.2663 0.7663
Ga 0.2500 0.2122 0.2878
Ga 0.7500 0.7878 0.7122
Pt 0.7500 0.2374 0.2626
Pt 0.2500 0.7626 0.7374

---

Question: Which value of total moment does entry 4 give?
Answer: 0.0000 μB per atom